First-principles (PBE+U) data for crystalline Na3VO at its relaxed geometry, as listed in Alexandria via LeMat-Bulk.

The structure in POSCAR format:
```
Na3VO
1.0
-2.247 -5.175 -0.214
2.603 -0.926 -4.924
4.478 -2.058 2.754
V Na O
1 3 1
Cartesian
0.000 0.000 0.000 V
-1.124 -2.588 -0.107 Na
2.239 -1.029 1.377 Na
1.301 -0.463 -2.462 Na
2.417 -4.080 -1.192 O
```

## Properties
D(E_F) = 15.15 states/eV per cell
Total energy = -10.3 eV per cell
Density = 1.3 g/cm3
Energy relative to the lowest polymorph listed for this composition = 1.177 eV/atom